(1)
DFT (PBE-GGA) results for crystalline K2ZnSiN at its relaxed geometry.

Cell: 6.660 6.660 3.482 Å, 90.00 90.00 90.00°
Space group P4/mmm (No. 123)
Symmetry-distinct sites (fractional):
K (0.000, 0.500, 0.000) x2
Zn (0.000, 0.000, 0.500) x1
Si (0.500, 0.500, 0.000) x1
N (0.500, 0.500, 0.500) x1

Summary:
Its density of states at the Fermi level is 0.8722 states/eV per atom. Its theoretical density is 2.00 g/cm³. The calculation puts the total magnetization at 0.000 μB per atom. As for the final energy: -3.08 eV per atom. The uncorrected formation energy is 0.359 eV per atom.

(2)
DFT (PBE-GGA) results for crystalline KZrSiN3 at its relaxed geometry.

Cell: 7.417 3.205 9.099 Å, 90.00 100.94 90.00°
Space group P2_1/m (No. 11)
Symmetry-distinct sites (fractional):
K (0.164, 0.250, 0.214) x2
Zr (0.377, 0.750, 0.873) x2
Si (0.110, 0.250, 0.586) x2
N (0.135, 0.750, 0.495) x2
N (0.184, 0.250, 0.773) x2
N (0.416, 0.750, 0.101) x2

Summary:
Its density of states at the Fermi level is 0.0000 states/eV per atom. Its theoretical density is 3.13 g/cm³. The calculation puts the total magnetization at 0.000 μB per atom. As for the final energy: -7.61 eV per atom. The uncorrected formation energy is -0.940 eV per atom.

(3)
DFT (PBE-GGA) results for crystalline KSm2N at its relaxed geometry.

Cell: 3.6278 3.6278 31.7209 Å, 90.00 90.00 120.00°
Space group R-3m (No. 166, hexagonal axes)
Symmetry-distinct sites (fractional):
K (0.0000, 0.0000, 0.0000) x3
Sm (0.0000, 0.0000, 0.1246) x6
N (0.0000, 0.0000, 0.5000) x3

Summary:
Its density of states at the Fermi level is 0.9331 states/eV per atom. Its theoretical density is 4.88 g/cm³. The calculation puts the total magnetization at 0.000 μB per atom. As for the final energy: -5.24 eV per atom. The uncorrected formation energy is -0.522 eV per atom.

(4)
DFT (PBE-GGA) results for crystalline KSmN at its relaxed geometry.

Cell: 26.466 3.610 3.610 Å, 90.00 90.00 90.00°
Space group Pnma (No. 62)
Symmetry-distinct sites (fractional):
K (0.075, 0.250, 0.224) x4
Sm (0.205, 0.750, 0.716) x4
N (0.209, 0.250, 0.216) x4

Summary:
Its density of states at the Fermi level is 0.2865 states/eV per atom. Its theoretical density is 3.92 g/cm³. The calculation puts the total magnetization at 0.000 μB per atom. As for the final energy: -5.45 eV per atom. The uncorrected formation energy is -0.732 eV per atom.

(5)
DFT (PBE-GGA) results for crystalline KSm2Tc2N6 at its relaxed geometry.

Cell: 6.267 6.653 6.788 Å, 95.84 115.17 115.75°
Space group P-1 (No. 2)
Symmetry-distinct sites (fractional):
K (0.000, 0.000, 0.000) x1
Sm (0.357, 0.670, 0.285) x2
Tc (0.228, 0.669, 0.683) x2
N (0.140, 0.668, 0.910) x2
N (0.292, 0.913, 0.581) x2
N (0.461, 0.576, 0.702) x2

Summary:
Its density of states at the Fermi level is 0.3330 states/eV per atom. Its theoretical density is 4.77 g/cm³. The calculation puts the total magnetization at 0.000 μB per atom. As for the final energy: -7.86 eV per atom. The uncorrected formation energy is -0.473 eV per atom.

(6)
DFT (PBE-GGA) results for crystalline KSm2W2N6 at its relaxed geometry.

Cell: 6.464 6.572 6.860 Å, 93.47 117.42 115.73°
Space group P-1 (No. 2)
Symmetry-distinct sites (fractional):
K (0.000, 0.000, 0.000) x1
Sm (0.365, 0.673, 0.290) x2
W (0.235, 0.682, 0.690) x2
N (0.137, 0.673, 0.908) x2
N (0.282, 0.915, 0.550) x2
N (0.462, 0.580, 0.698) x2

Summary:
Its density of states at the Fermi level is 0.4024 states/eV per atom. Its theoretical density is 5.97 g/cm³. The calculation puts the total magnetization at 0.087 μB per atom. As for the final energy: -8.45 eV per atom. The uncorrected formation energy is -0.593 eV per atom.